No. 1
# ZrRe2BW

Crystalline ZrRe2BW at its relaxed geometry (PBE-GGA, Alexandria).

Lattice parameters (Å, degrees): 4.138 4.138 4.504 90.00 90.00 90.00
Fractional positions:
Zr: 0.000 0.000 0.000
Re: 0.000 0.500 0.500
Re: 0.500 0.000 0.500
B: 0.000 0.000 0.500
W: 0.500 0.500 0.000

DOS at the Fermi energy = 3.97 states/eV/f.u.
Magnetic moment = 0.00 μB/f.u.

No. 2
# YReB2

Crystalline YReB2 at its relaxed geometry (PBE-GGA, Alexandria).

Lattice parameters (Å, degrees): 5.802 5.802 5.802 34.13 34.13 34.13
Fractional positions:
Y: 0.000 0.000 0.000
Re: 0.500 0.500 0.500
B: 0.230 0.230 0.230
B: 0.770 0.770 0.770

DOS at the Fermi energy = 1.05 states/eV/f.u.
Magnetic moment = 0.00 μB/f.u.

No. 3
# Y3Re3B8

Crystalline Y3Re3B8 at its relaxed geometry (PBE-GGA, Alexandria).

Lattice parameters (Å, degrees): 7.849 7.849 7.849 156.87 108.19 76.60
Fractional positions:
Y: 0.000 0.000 0.000
Y: 0.284 0.284 0.000
Y: 0.716 0.716 0.000
Re: 0.277 0.500 0.777
Re: 0.500 0.000 0.500
Re: 0.723 0.500 0.223
B: 0.016 0.343 0.672
B: 0.103 0.864 0.239
B: 0.329 0.657 0.672
B: 0.374 0.136 0.239
B: 0.626 0.864 0.761
B: 0.671 0.343 0.328
B: 0.897 0.136 0.761
B: 0.984 0.657 0.328

DOS at the Fermi energy = 5.72 states/eV/f.u.
Magnetic moment = 0.00 μB/f.u.

No. 4
# YReB2

Crystalline YReB2 at its relaxed geometry (PBE-GGA, Alexandria).

Lattice parameters (Å, degrees): 4.185 4.185 4.185 60.00 60.00 60.00
Fractional positions:
Y: 0.000 0.000 0.000
Re: 0.500 0.500 0.500
B: 0.250 0.250 0.250
B: 0.750 0.750 0.750

DOS at the Fermi energy = 2.96 states/eV/f.u.
Magnetic moment = 0.00 μB/f.u.

No. 5
# YRe3B

Crystalline YRe3B at its relaxed geometry (PBE-GGA, Alexandria).

Lattice parameters (Å, degrees): 4.864 4.864 4.864 90.00 90.00 90.00
Fractional positions:
Y: 0.000 0.000 0.000
Re: 0.000 0.000 0.500
Re: 0.000 0.500 0.000
Re: 0.500 0.000 0.000
B: 0.500 0.500 0.500

DOS at the Fermi energy = 5.09 states/eV/f.u.
Magnetic moment = 3.47 μB/f.u.

No. 6
# YRe3B3

Crystalline YRe3B3 at its relaxed geometry (PBE-GGA, Alexandria).

Lattice parameters (Å, degrees): 8.125 8.125 3.084 90.00 90.00 120.00
Fractional positions:
Y: 0.333 0.667 0.250
Y: 0.667 0.333 0.750
Re: 0.067 0.306 0.750
Re: 0.238 0.933 0.750
Re: 0.306 0.238 0.250
Re: 0.694 0.762 0.750
Re: 0.762 0.067 0.250
Re: 0.933 0.694 0.250
B: 0.039 0.569 0.750
B: 0.431 0.470 0.750
B: 0.470 0.039 0.250
B: 0.530 0.961 0.750
B: 0.569 0.530 0.250
B: 0.961 0.431 0.250

DOS at the Fermi energy = 2.23 states/eV/f.u.
Magnetic moment = 0.00 μB/f.u.

no.,energy relative to the elements (meV per atom),VASP energy (eV per formula unit)
1,208,-52.037
2,-102,-32.673
3,-125,-111.911
4,494,-30.292
5,4074,-30.114
6,-272,-65.747